Arrangement A

Zr2ScHPb | GGA-PBE | optimized geometry

POSCAR file:
```
Zr2ScHPb
1.0
-3.067 -0.257 3.198
3.195 -0.645 3.013
0.306 4.614 0.664
H Pb Zr Sc
1 1 2 1
direct
0.000 0.000 0.000
0.500 0.500 0.500
0.000 0.500 0.000
0.500 0.000 0.000
0.000 0.000 0.500
```

Output
**Calculated density**: 7.9 Mg/m³
**Space group**: P4/mmm, No. 123


Arrangement B

Zr2ScHPb | GGA-PBE | optimized geometry

POSCAR file:
```
Zr2ScHPb
1.0
-0.586 -3.328 -2.632
-1.247 -2.404 3.318
-4.940 1.487 -0.779
Sc Zr H Pb
1 2 1 1
direct
0.500 0.500 0.500
0.500 0.000 0.000
0.000 0.500 0.000
0.000 0.000 0.000
0.000 0.000 0.500
```

Output
**Calculated density**: 7.6 Mg/m³
**Space group**: P4/mmm, No. 123


Short version: arrangement A, arrangement B, most stable first.


Arrangement A

HPbSe3 | GGA-PBE | optimized geometry

POSCAR file:
```
HPbSe3
1.0
4.612 0.000 0.000
0.000 4.612 0.000
0.000 0.000 4.612
Se Pb H
3 1 1
direct
0.000 0.000 0.500
0.000 0.500 0.000
0.500 0.000 0.000
0.500 0.500 0.500
0.000 0.000 0.000
```

Output
**Calculated density**: 7.5 Mg/m³
**Space group**: Pm-3m, No. 221


Arrangement B

HPbSe3 | GGA-PBE | optimized geometry

POSCAR file:
```
HPbSe3
1.0
5.531 0.000 0.000
0.000 5.531 0.000
0.000 0.000 5.531
Se H Pb
3 1 1
direct
0.000 0.000 0.500
0.500 0.000 0.000
0.000 0.500 0.000
0.500 0.500 0.500
0.000 0.000 0.000
```

Output
**Calculated density**: 4.4 Mg/m³
**Space group**: Pm-3m, No. 221


Short version: arrangement A, arrangement B, most stable first.


Arrangement A

HPb2Se | GGA-PBE | optimized geometry

POSCAR file:
```
HPb2Se
1.0
-1.642 -4.731 3.594
3.761 -3.715 -3.171
5.370 -2.959 3.844
H Pb Se
2 4 2
direct
0.250 0.750 0.500
0.500 0.500 0.000
0.205 0.625 0.250
0.875 0.795 0.750
0.545 0.125 0.250
0.375 0.455 0.750
0.000 0.000 0.000
0.750 0.250 0.500
```

Output
**Calculated density**: 7.5 Mg/m³
**Space group**: I-42d, No. 122


Arrangement B

HPb2Se | GGA-PBE | optimized geometry

POSCAR file:
```
HPb2Se
1.0
0.000 3.613 3.613
3.613 0.000 3.613
3.613 3.613 0.000
Pb H Se
2 1 1
direct
0.250 0.250 0.250
0.750 0.750 0.750
0.000 0.000 0.000
0.500 0.500 0.500
```

Output
**Calculated density**: 8.7 Mg/m³
**Space group**: Fm-3m, No. 225


Short version: arrangement A, arrangement B, most stable first.


Arrangement A

H3PbSe | GGA-PBE | optimized geometry

POSCAR file:
```
H3PbSe
1.0
3.982 0.000 0.000
0.000 3.982 0.000
0.000 0.000 3.982
H Pb Se
3 1 1
direct
0.000 0.000 0.500
0.500 0.000 0.000
0.000 0.500 0.000
0.500 0.500 0.500
0.000 0.000 0.000
```

Output
**Calculated density**: 7.6 Mg/m³
**Space group**: Pm-3m, No. 221


Arrangement B

H3PbSe | GGA-PBE | optimized geometry

POSCAR file:
```
H3PbSe
1.0
4.118 0.000 0.000
0.000 4.118 0.000
0.000 0.000 4.118
H Pb Se
3 1 1
direct
0.000 0.500 0.000
0.500 0.000 0.000
0.000 0.000 0.500
0.000 0.000 0.000
0.500 0.500 0.500
```

Output
**Calculated density**: 6.9 Mg/m³
**Space group**: Pm-3m, No. 221


Short version: arrangement A, arrangement B, most stable first.


Arrangement A

SnHPb3 | GGA-PBE | optimized geometry

POSCAR file:
```
SnHPb3
1.0
-4.337 3.721 -1.525
-4.015 -3.883 1.945
0.223 2.461 5.373
Pb Sn H
3 1 1
direct
0.000 0.500 0.000
0.000 0.000 0.500
0.500 0.000 0.000
0.000 0.000 0.000
0.500 0.500 0.500
```

Output
**Calculated density**: 6.0 Mg/m³
**Space group**: Pm-3m, No. 221


Arrangement B

SnHPb3 | GGA-PBE | optimized geometry

POSCAR file:
```
SnHPb3
1.0
5.016 0.000 0.000
0.000 5.016 0.000
0.000 0.000 5.016
Pb Sn H
3 1 1
direct
0.000 0.500 0.000
0.500 0.000 0.000
0.000 0.000 0.500
0.500 0.500 0.500
0.000 0.000 0.000
```

Output
**Calculated density**: 9.8 Mg/m³
**Space group**: Pm-3m, No. 221


Short version: arrangement B, arrangement A, most stable first.


Arrangement A

Sn3HPb | GGA-PBE | optimized geometry

POSCAR file:
```
Sn3HPb
1.0
-1.869 4.269 1.566
-4.347 -1.181 -1.969
-1.333 -2.133 4.224
H Sn Pb
1 3 1
direct
0.000 0.000 0.000
0.500 0.000 0.000
0.000 0.500 0.000
0.000 0.000 0.500
0.500 0.500 0.500
```

Output
**Calculated density**: 7.9 Mg/m³
**Space group**: Pm-3m, No. 221


Arrangement B

Sn3HPb | GGA-PBE | optimized geometry

POSCAR file:
```
Sn3HPb
1.0
5.904 0.000 0.000
0.000 5.904 0.000
0.000 0.000 5.904
Pb Sn H
1 3 1
direct
0.000 0.000 0.000
0.000 0.500 0.000
0.000 0.000 0.500
0.500 0.000 0.000
0.500 0.500 0.500
```

Output
**Calculated density**: 4.6 Mg/m³
**Space group**: Pm-3m, No. 221


Short version: arrangement A, arrangement B, most stable first.